(1)
The following is a GGA-PBE calculation of crystalline Ac3Pd2Pt7 at its relaxed geometry, from Alexandria via LeMat-Bulk.

Cell: 9.691 9.691 9.691 Å, 33.36 33.36 33.36°
Atoms (fractional coordinates):
Ac: 0.000 0.000 0.000
Ac: 0.139 0.139 0.139
Ac: 0.861 0.861 0.861
Pd: 0.332 0.332 0.332
Pd: 0.668 0.668 0.668
Pt: 0.081 0.585 0.585
Pt: 0.415 0.415 0.919
Pt: 0.415 0.919 0.415
Pt: 0.500 0.500 0.500
Pt: 0.585 0.081 0.585
Pt: 0.585 0.585 0.081
Pt: 0.919 0.415 0.415

As for the energy relative to the elements: -0.91 eV per atom. As for the space group: No. 166. As for the total energy: -6.3269 eV/atom.

(2)
The following is a GGA-PBE calculation of crystalline AcPd3Pt at its relaxed geometry, from Alexandria via LeMat-Bulk.

Cell: 6.429 6.429 12.450 Å, 90.00 90.00 120.00°
Atoms (fractional coordinates):
Ac: 0.000 0.000 0.000
Ac: 0.000 0.000 0.500
Ac: 0.333 0.667 0.250
Ac: 0.667 0.333 0.750
Pd: 0.000 0.500 0.000
Pd: 0.000 0.500 0.500
Pd: 0.132 0.265 0.750
Pd: 0.132 0.868 0.750
Pd: 0.265 0.132 0.250
Pd: 0.500 0.000 0.000
Pd: 0.500 0.000 0.500
Pd: 0.500 0.500 0.000
Pd: 0.500 0.500 0.500
Pd: 0.735 0.868 0.750
Pd: 0.868 0.132 0.250
Pd: 0.868 0.735 0.250
Pt: 0.333 0.667 0.646
Pt: 0.333 0.667 0.854
Pt: 0.667 0.333 0.146
Pt: 0.667 0.333 0.354

As for the energy relative to the elements: -0.40 eV per atom. As for the space group: No. 194. As for the total energy: -5.5474 eV/atom.

(3)
The following is a GGA-PBE calculation of crystalline Ac4PdPt at its relaxed geometry, from Alexandria via LeMat-Bulk.

Cell: 8.560 8.560 8.560 Å, 105.92 105.92 116.84°
Atoms (fractional coordinates):
Ac: 0.195 0.497 0.699
Ac: 0.247 0.048 0.801
Ac: 0.247 0.445 0.199
Ac: 0.300 0.000 0.300
Ac: 0.700 0.000 0.700
Ac: 0.750 0.550 0.800
Ac: 0.750 0.950 0.200
Ac: 0.798 0.497 0.301
Pd: 0.248 0.748 0.500
Pd: 0.498 0.498 0.000
Pt: 0.748 0.248 0.500
Pt: 0.998 0.998 0.000

As for the energy relative to the elements: -0.62 eV per atom. As for the space group: No. 109. As for the total energy: -5.2319 eV/atom.

(4)
The following is a GGA-PBE calculation of crystalline Ac5Pd5Pt2 at its relaxed geometry, from Alexandria via LeMat-Bulk.

Cell: 8.333 8.333 11.913 Å, 128.00 128.00 29.80°
Atoms (fractional coordinates):
Ac: 0.000 0.000 0.000
Ac: 0.106 0.106 0.418
Ac: 0.203 0.203 0.824
Ac: 0.797 0.797 0.176
Ac: 0.894 0.894 0.582
Pd: 0.275 0.275 0.336
Pd: 0.422 0.422 0.142
Pd: 0.500 0.500 0.500
Pd: 0.578 0.578 0.858
Pd: 0.725 0.725 0.664
Pt: 0.363 0.363 0.745
Pt: 0.637 0.637 0.255

As for the energy relative to the elements: -0.88 eV per atom. As for the space group: No. 12. As for the total energy: -5.7623 eV/atom.

(5)
The following is a GGA-PBE calculation of crystalline Ac6PdPt3 at its relaxed geometry, from Alexandria via LeMat-Bulk.

Cell: 12.728 4.393 13.488 Å, 90.00 112.75 90.00°
Atoms (fractional coordinates):
Ac: 0.055 0.250 0.405
Ac: 0.095 0.750 0.930
Ac: 0.242 0.250 0.762
Ac: 0.246 0.750 0.262
Ac: 0.403 0.250 0.563
Ac: 0.435 0.250 0.102
Ac: 0.565 0.750 0.898
Ac: 0.597 0.750 0.437
Ac: 0.754 0.250 0.738
Ac: 0.758 0.750 0.238
Ac: 0.905 0.250 0.070
Ac: 0.945 0.750 0.595
Pd: 0.194 0.750 0.573
Pd: 0.806 0.250 0.427
Pt: 0.006 0.250 0.768
Pt: 0.336 0.750 0.935
Pt: 0.421 0.250 0.339
Pt: 0.579 0.750 0.661
Pt: 0.664 0.250 0.065
Pt: 0.994 0.750 0.232

As for the energy relative to the elements: -0.88 eV per atom. As for the space group: No. 11. As for the total energy: -5.6795 eV/atom.

(6)
The following is a GGA-PBE calculation of crystalline Ac3Pd4Pt2 at its relaxed geometry, from Alexandria via LeMat-Bulk.

Cell: 6.116 6.116 8.884 Å, 105.92 105.92 44.23°
Atoms (fractional coordinates):
Ac: 0.000 0.000 0.000
Ac: 0.332 0.332 0.336
Ac: 0.668 0.668 0.664
Pd: 0.053 0.053 0.386
Pd: 0.276 0.276 0.943
Pd: 0.724 0.724 0.057
Pd: 0.947 0.947 0.614
Pt: 0.390 0.390 0.722
Pt: 0.610 0.610 0.278

As for the energy relative to the elements: -0.86 eV per atom. As for the space group: No. 12. As for the total energy: -5.8846 eV/atom.

(7)
The following is a GGA-PBE calculation of crystalline Ac2Pd3Pt2 at its relaxed geometry, from Alexandria via LeMat-Bulk.

Cell: 5.786 5.786 6.672 Å, 105.48 105.48 46.67°
Atoms (fractional coordinates):
Ac: 0.109 0.109 0.312
Ac: 0.891 0.891 0.688
Pd: 0.210 0.210 0.896
Pd: 0.500 0.500 0.000
Pd: 0.790 0.790 0.104
Pt: 0.396 0.396 0.328
Pt: 0.604 0.604 0.672

As for the energy relative to the elements: -0.82 eV per atom. As for the space group: No. 12. As for the total energy: -5.9478 eV/atom.

(8)
The following is a GGA-PBE calculation of crystalline Ac3Pd4Pt2 at its relaxed geometry, from Alexandria via LeMat-Bulk.

Cell: 4.603 4.603 24.093 Å, 90.00 90.00 120.00°
Atoms (fractional coordinates):
Ac: 0.000 0.000 0.083
Ac: 0.000 0.000 0.251
Ac: 0.000 0.000 0.416
Ac: 0.000 0.000 0.584
Ac: 0.000 0.000 0.749
Ac: 0.000 0.000 0.917
Pd: 0.333 0.667 0.168
Pd: 0.333 0.667 0.334
Pd: 0.333 0.667 0.500
Pd: 0.333 0.667 0.666
Pd: 0.333 0.667 0.832
Pd: 0.667 0.333 0.168
Pd: 0.667 0.333 0.500
Pd: 0.667 0.333 0.832
Pt: 0.333 0.667 0.000
Pt: 0.667 0.333 0.000
Pt: 0.667 0.333 0.334
Pt: 0.667 0.333 0.666

As for the energy relative to the elements: -0.85 eV per atom. As for the space group: No. 187. As for the total energy: -5.8732 eV/atom.